Material: SmDy3Y2
Method: DFT, PBE
State: optimized geometry

Space group: C2/c (15)

abc: 9.439 9.439 6.172
angles: 90.06 90.06 44.38
Sites, in units of the cell vectors:
Sm (0.125, 0.875, 0.750)
Sm (0.875, 0.125, 0.250)
Dy (0.042, 0.292, 0.917)
Dy (0.292, 0.042, 0.417)
Dy (0.375, 0.625, 0.250)
Dy (0.625, 0.375, 0.750)
Dy (0.708, 0.958, 0.583)
Dy (0.958, 0.708, 0.083)
Y (0.208, 0.458, 0.583)
Y (0.458, 0.208, 0.083)
Y (0.542, 0.792, 0.917)
Y (0.792, 0.542, 0.417)


Material: Sm3DyY12
Method: DFT, PBE
State: optimized geometry

Space group: P4/mmm (123)

abc: 5.062 5.062 20.258
angles: 90.00 90.00 90.00
Sites, in units of the cell vectors:
Sm (0.000, 0.000, 0.000)
Sm (0.000, 0.000, 0.251)
Sm (0.000, 0.000, 0.749)
Dy (0.000, 0.000, 0.500)
Y (0.000, 0.500, 0.125)
Y (0.000, 0.500, 0.376)
Y (0.000, 0.500, 0.624)
Y (0.000, 0.500, 0.875)
Y (0.500, 0.000, 0.125)
Y (0.500, 0.000, 0.376)
Y (0.500, 0.000, 0.624)
Y (0.500, 0.000, 0.875)
Y (0.500, 0.500, 0.000)
Y (0.500, 0.500, 0.251)
Y (0.500, 0.500, 0.500)
Y (0.500, 0.500, 0.749)


Material: Sm4DyY4
Method: DFT, PBE
State: optimized geometry

Space group: P-1 (2)

abc: 6.211 6.227 8.029
angles: 75.13 82.76 80.39
Sites, in units of the cell vectors:
Sm (0.055, 0.279, 0.390)
Sm (0.167, 0.834, 0.168)
Sm (0.833, 0.166, 0.832)
Sm (0.945, 0.721, 0.610)
Dy (0.500, 0.500, 0.500)
Y (0.278, 0.389, 0.944)
Y (0.389, 0.944, 0.722)
Y (0.611, 0.056, 0.278)
Y (0.722, 0.611, 0.056)


Material: Sm14DyY
Method: DFT, PBE
State: optimized geometry

Space group: P4/mmm (123)

abc: 7.251 7.251 10.213
angles: 90.00 90.00 90.00
Sites, in units of the cell vectors:
Sm (0.000, 0.000, 0.000)
Sm (0.000, 0.500, 0.000)
Sm (0.000, 0.500, 0.500)
Sm (0.250, 0.250, 0.251)
Sm (0.250, 0.250, 0.749)
Sm (0.250, 0.750, 0.251)
Sm (0.250, 0.750, 0.749)
Sm (0.500, 0.000, 0.000)
Sm (0.500, 0.000, 0.500)
Sm (0.500, 0.500, 0.000)
Sm (0.750, 0.250, 0.251)
Sm (0.750, 0.250, 0.749)
Sm (0.750, 0.750, 0.251)
Sm (0.750, 0.750, 0.749)
Dy (0.000, 0.000, 0.500)
Y (0.500, 0.500, 0.500)


Material: SmDy2Y2
Method: DFT, PBE
State: optimized geometry

ΔE to the lowest computed polymorph, eV/atom: 0.034
Space group: C2/m (12)

abc: 6.851 6.851 9.568
angles: 108.17 108.17 50.44
Sites, in units of the cell vectors:
Sm (0.049, 0.049, 0.347)
Sm (0.951, 0.951, 0.653)
Dy (0.153, 0.153, 0.044)
Dy (0.262, 0.262, 0.736)
Dy (0.738, 0.738, 0.264)
Dy (0.847, 0.847, 0.956)
Y (0.355, 0.355, 0.429)
Y (0.446, 0.446, 0.134)
Y (0.554, 0.554, 0.866)
Y (0.645, 0.645, 0.571)


Material: Sm3DyY7
Method: DFT, PBE
State: optimized geometry

ΔE to the lowest computed polymorph, eV/atom: 0.043
Space group: P3m1 (156)

abc: 7.111 7.111 8.665
angles: 90.00 90.00 120.00
Sites, in units of the cell vectors:
Sm (0.001, 0.500, 0.000)
Sm (0.500, 0.500, 0.000)
Sm (0.500, 0.999, 0.000)
Dy (0.333, 0.667, 0.336)
Y (0.168, 0.335, 0.664)
Y (0.168, 0.832, 0.664)
Y (0.335, 0.167, 0.335)
Y (0.665, 0.832, 0.664)
Y (0.667, 0.333, 0.663)
Y (0.833, 0.167, 0.335)
Y (0.833, 0.665, 0.335)


Material: Sm6DyY2
Method: DFT, PBE
State: optimized geometry

ΔE to the lowest computed polymorph, eV/atom: 0.093
Space group: C2/m (12)

abc: 7.542 7.542 6.191
angles: 90.12 90.12 59.86
Sites, in units of the cell vectors:
Sm (0.125, 0.688, 0.794)
Sm (0.312, 0.312, 0.207)
Sm (0.312, 0.875, 0.206)
Sm (0.688, 0.125, 0.794)
Sm (0.688, 0.688, 0.793)
Sm (0.875, 0.312, 0.206)
Dy (0.500, 0.500, 0.500)
Y (0.166, 0.166, 0.709)
Y (0.834, 0.834, 0.291)


Material: Sm7Dy3Y2
Method: DFT, PBE
State: optimized geometry

ΔE to the lowest computed polymorph, eV/atom: 0.000
Space group: P2/m (10)

abc: 6.419 3.554 17.552
angles: 90.00 96.02 90.00
Sites, in units of the cell vectors:
Sm (0.000, 0.000, 0.000)
Sm (0.225, 0.500, 0.170)
Sm (0.257, 0.500, 0.497)
Sm (0.275, 0.000, 0.834)
Sm (0.725, 0.000, 0.166)
Sm (0.743, 0.500, 0.503)
Sm (0.775, 0.500, 0.830)
Dy (0.451, 0.000, 0.341)
Dy (0.500, 0.500, 0.000)
Dy (0.549, 0.000, 0.659)
Y (0.059, 0.500, 0.671)
Y (0.941, 0.500, 0.329)


Number 1: energy of formation from the pure elements 19.4 meV per atom, spin magnetization 0.00 μB per cell. Number 2: energy of formation from the pure elements 22.0 meV per atom, spin magnetization 0.00 μB per cell. Number 3: energy of formation from the pure elements 16.5 meV per atom, spin magnetization 0.00 μB per cell. Number 4: energy of formation from the pure elements 15.2 meV per atom, spin magnetization 0.00 μB per cell. Number 5: energy of formation from the pure elements 120.0 meV per atom, spin magnetization 0.00 μB per cell. Number 6: energy of formation from the pure elements 185.5 meV per atom, spin magnetization 0.00 μB per cell. Number 7: energy of formation from the pure elements 233.2 meV per atom, spin magnetization 0.55 μB per cell. Number 8: energy of formation from the pure elements 72.3 meV per atom, spin magnetization 0.00 μB per cell.